No. 1
Compound: NaBBr6
Source: the Alexandria database
Functional: PBE
Structure: optimized geometry

Output
DFT total energy	-2.616	eV per atom
formation energy from raw total energies	-0.36	eV/atom
DOS(E_F)	0.00	states/eV/cell

Unit cell a=4.563 b=6.171 c=9.882 alpha=74.16 beta=78.02 gamma=78.65
Fractional positions:
Na: 0.000 0.000 0.000
B: 0.000 0.000 0.500
Br: 0.047 0.712 0.606
Br: 0.357 0.137 0.724
Br: 0.465 0.388 0.916
Br: 0.535 0.612 0.084
Br: 0.643 0.863 0.276
Br: 0.953 0.288 0.394

=====

No. 2
Compound: NaB2Br
Source: the Alexandria database
Functional: PBE
Structure: optimized geometry

Output
energy above the most stable polymorph in this dataset	0.0	kJ per mole of atoms
DFT total energy	-2.532	eV per atom
formation energy from raw total energies	1.55	eV/atom
DOS(E_F)	5.23	states/eV/cell

Unit cell a=5.966 b=5.966 c=5.966 alpha=100.83 beta=100.83 gamma=128.61
Fractional positions:
Na: 0.000 0.000 0.000
Na: 0.750 0.250 0.500
B: 0.142 0.625 0.017
B: 0.375 0.392 0.517
B: 0.608 0.125 0.983
B: 0.875 0.858 0.483
Br: 0.250 0.750 0.500
Br: 0.500 0.500 0.000

=====

No. 3
Compound: Na2BBr
Source: the Alexandria database
Functional: PBE
Structure: optimized geometry

Output
energy above the most stable polymorph in this dataset	4.9	kJ per mole of atoms
DFT total energy	-2.298	eV per atom
formation energy from raw total energies	0.45	eV/atom
DOS(E_F)	3.82	states/eV/cell

Unit cell a=5.029 b=5.029 c=5.029 alpha=60.00 beta=60.00 gamma=60.00
Fractional positions:
Na: 0.250 0.250 0.250
Na: 0.750 0.750 0.750
B: 0.000 0.000 0.000
Br: 0.500 0.500 0.500

=====

No. 4
Compound: Na2BBr
Source: the Alexandria database
Functional: PBE
Structure: optimized geometry

Output
energy above the most stable polymorph in this dataset	0.0	kJ per mole of atoms
DFT total energy	-2.349	eV per atom
formation energy from raw total energies	0.40	eV/atom
DOS(E_F)	1.07	states/eV/cell

Unit cell a=6.323 b=6.323 c=6.323 alpha=106.33 beta=106.33 gamma=115.96
Fractional positions:
Na: 0.112 0.625 0.987
Na: 0.375 0.362 0.487
Na: 0.638 0.125 0.013
Na: 0.875 0.888 0.513
B: 0.000 0.000 0.000
B: 0.750 0.250 0.500
Br: 0.250 0.750 0.500
Br: 0.500 0.500 0.000

=====

No. 5
Compound: RbNa2B6BrO10
Source: the Alexandria database
Functional: PBE
Structure: optimized geometry

Output
DFT total energy	-7.078	eV per atom
formation energy from raw total energies	-2.33	eV/atom
DOS(E_F)	0.00	states/eV/cell

Unit cell a=12.923 b=9.667 c=8.574 alpha=90.00 beta=90.00 gamma=90.00
Fractional positions:
Rb: 0.000 0.000 0.000
Rb: 0.000 0.500 0.000
Rb: 0.500 0.000 0.500
Rb: 0.500 0.500 0.500
Na: 0.000 0.000 0.500
Na: 0.000 0.500 0.500
Na: 0.203 0.250 0.250
Na: 0.297 0.750 0.750
Na: 0.500 0.000 0.000
Na: 0.500 0.500 0.000
Na: 0.703 0.250 0.250
Na: 0.797 0.750 0.750
B: 0.027 0.750 0.301
B: 0.169 0.250 0.614
B: 0.193 0.614 0.285
B: 0.193 0.886 0.285
B: 0.234 0.014 0.537
B: 0.234 0.486 0.537
B: 0.266 0.514 0.037
B: 0.266 0.986 0.037
B: 0.307 0.114 0.785
B: 0.307 0.386 0.785
B: 0.331 0.750 0.114
B: 0.473 0.250 0.801
B: 0.527 0.750 0.199
B: 0.669 0.250 0.886
B: 0.693 0.614 0.215
B: 0.693 0.886 0.215
B: 0.734 0.014 0.963
B: 0.734 0.486 0.963
B: 0.766 0.514 0.463
B: 0.766 0.986 0.463
B: 0.807 0.114 0.715
B: 0.807 0.386 0.715
B: 0.831 0.750 0.386
B: 0.973 0.250 0.699
Br: 0.054 0.750 0.736
Br: 0.446 0.250 0.236
Br: 0.554 0.750 0.764
Br: 0.946 0.250 0.264
O: 0.079 0.250 0.713
O: 0.079 0.626 0.303
O: 0.079 0.874 0.303
O: 0.171 0.127 0.510
O: 0.171 0.373 0.510
O: 0.210 0.501 0.173
O: 0.210 0.999 0.173
O: 0.233 0.750 0.214
O: 0.245 0.591 0.432
O: 0.245 0.909 0.432
O: 0.255 0.091 0.932
O: 0.255 0.409 0.932
O: 0.267 0.250 0.714
O: 0.290 0.001 0.673
O: 0.290 0.499 0.673
O: 0.329 0.627 0.010
O: 0.329 0.873 0.010
O: 0.421 0.126 0.803
O: 0.421 0.374 0.803
O: 0.421 0.750 0.213
O: 0.579 0.250 0.787
O: 0.579 0.626 0.197
O: 0.579 0.874 0.197
O: 0.671 0.127 0.990
O: 0.671 0.373 0.990
O: 0.710 0.501 0.327
O: 0.710 0.999 0.327
O: 0.733 0.750 0.286
O: 0.745 0.591 0.068
O: 0.745 0.909 0.068
O: 0.755 0.091 0.568
O: 0.755 0.409 0.568
O: 0.767 0.250 0.786
O: 0.790 0.001 0.827
O: 0.790 0.499 0.827
O: 0.829 0.627 0.490
O: 0.829 0.873 0.490
O: 0.921 0.126 0.697
O: 0.921 0.374 0.697
O: 0.921 0.750 0.287

=====

No. 6
Compound: RbNaB2Br8
Source: the Alexandria database
Functional: PBE
Structure: optimized geometry

Output
DFT total energy	-3.300	eV per atom
formation energy from raw total energies	-0.88	eV/atom
DOS(E_F)	0.00	states/eV/cell

Unit cell a=10.686 b=10.686 c=10.686 alpha=36.19 beta=36.19 gamma=36.19
Fractional positions:
Rb: 0.000 0.000 0.000
Na: 0.500 0.500 0.500
B: 0.251 0.251 0.251
B: 0.749 0.749 0.749
Br: 0.047 0.799 0.467
Br: 0.201 0.533 0.953
Br: 0.319 0.319 0.319
Br: 0.467 0.047 0.799
Br: 0.533 0.953 0.201
Br: 0.681 0.681 0.681
Br: 0.799 0.467 0.047
Br: 0.953 0.201 0.533

=====

No. 7
Compound: NaB2SBr
Source: the Alexandria database
Functional: PBE
Structure: optimized geometry

Output
DFT total energy	-1.948	eV per atom
formation energy from raw total energies	2.15	eV/atom
DOS(E_F)	5.00	states/eV/cell

Unit cell a=5.027 b=5.027 c=4.909 alpha=90.00 beta=90.00 gamma=90.00
Fractional positions:
Na: 0.000 0.000 0.000
B: 0.000 0.500 0.000
B: 0.500 0.000 0.000
S: 0.500 0.500 0.500
Br: 0.000 0.000 0.500

=====

No. 8
Compound: NaBSe2Br
Source: the Alexandria database
Functional: PBE
Structure: optimized geometry

Output
energy above the most stable polymorph in this dataset	0.0	kJ per mole of atoms
DFT total energy	-3.301	eV per atom
formation energy from raw total energies	0.03	eV/atom
DOS(E_F)	3.78	states/eV/cell

Unit cell a=4.267 b=4.267 c=7.695 alpha=90.00 beta=90.00 gamma=90.00
Fractional positions:
Na: 0.000 0.000 0.000
B: 0.500 0.500 0.500
Se: 0.000 0.500 0.500
Se: 0.500 0.000 0.500
Br: 0.500 0.500 0.000

=====

No. 9
Compound: NaBSe2Br
Source: the Alexandria database
Functional: PBE
Structure: optimized geometry

Output
energy above the most stable polymorph in this dataset	119.3	kJ per mole of atoms
DFT total energy	-2.064	eV per atom
formation energy from raw total energies	1.26	eV/atom
DOS(E_F)	4.62	states/eV/cell

Unit cell a=5.352 b=5.352 c=5.403 alpha=90.00 beta=90.00 gamma=90.00
Fractional positions:
Na: 0.000 0.000 0.000
B: 0.500 0.500 0.500
Se: 0.000 0.500 0.000
Se: 0.500 0.000 0.000
Br: 0.000 0.000 0.500

=====

No. 10
Compound: NaB2TeBr
Source: the Alexandria database
Functional: PBE
Structure: optimized geometry

Output
DFT total energy	-2.252	eV per atom
formation energy from raw total energies	1.65	eV/atom
DOS(E_F)	2.04	states/eV/cell

Unit cell a=4.479 b=4.479 c=5.997 alpha=90.00 beta=90.00 gamma=90.00
Fractional positions:
Na: 0.000 0.000 0.000
B: 0.000 0.500 0.500
B: 0.500 0.000 0.500
Te: 0.500 0.500 0.000
Br: 0.500 0.500 0.500

=====

No. 11
Compound: NaZnBBr2
Source: the Alexandria database
Functional: PBE
Structure: optimized geometry

Output
DFT total energy	-1.804	eV per atom
formation energy from raw total energies	0.72	eV/atom
DOS(E_F)	3.08	states/eV/cell

Unit cell a=5.057 b=5.057 c=6.625 alpha=90.00 beta=90.00 gamma=90.00
Fractional positions:
Na: 0.000 0.000 0.000
Zn: 0.000 0.000 0.500
B: 0.500 0.500 0.000
Br: 0.000 0.500 0.500
Br: 0.500 0.000 0.500

=====

No. 12
Compound: Nb2BBr
Source: the Alexandria database
Functional: PBE
Structure: optimized geometry

Output
energy above the most stable polymorph in this dataset	0.0	kJ per mole of atoms
DFT total energy	-6.642	eV per atom
formation energy from raw total energies	0.48	eV/atom
DOS(E_F)	1.34	states/eV/cell

Unit cell a=4.385 b=4.385 c=4.385 alpha=60.00 beta=60.00 gamma=60.00
Fractional positions:
Nb: 0.250 0.250 0.250
Nb: 0.750 0.750 0.750
B: 0.000 0.000 0.000
Br: 0.500 0.500 0.500

=====

No. 13
Compound: NbB2Br2
Source: the Alexandria database
Functional: PBE
Structure: optimized geometry

Output
energy above the most stable polymorph in this dataset	0.0	kJ per mole of atoms
DFT total energy	-4.457	eV per atom
formation energy from raw total energies	0.90	eV/atom
DOS(E_F)	3.62	states/eV/cell

Unit cell a=10.816 b=10.816 c=10.816 alpha=163.95 beta=163.95 gamma=22.77
Fractional positions:
Nb: 0.000 0.000 0.000
B: 0.250 0.750 0.500
B: 0.750 0.250 0.500
Br: 0.420 0.420 0.000
Br: 0.580 0.580 0.000

=====

No. 14
Compound: NbB2Br
Source: the Alexandria database
Functional: PBE
Structure: optimized geometry

Output
energy above the most stable polymorph in this dataset	0.0	kJ per mole of atoms
DFT total energy	-4.965	eV per atom
formation energy from raw total energies	1.31	eV/atom
DOS(E_F)	3.03	states/eV/cell

Unit cell a=6.084 b=6.084 c=6.084 alpha=126.78 beta=126.78 gamma=78.61
Fractional positions:
Nb: 0.000 0.000 0.000
Nb: 0.750 0.250 0.500
B: 0.111 0.625 0.986
B: 0.375 0.361 0.486
B: 0.639 0.125 0.014
B: 0.875 0.889 0.514
Br: 0.250 0.750 0.500
Br: 0.500 0.500 0.000

=====

No. 15
Compound: NbBBr2
Source: the Alexandria database
Functional: PBE
Structure: optimized geometry

Output
energy above the most stable polymorph in this dataset	55.9	kJ per mole of atoms
DFT total energy	-3.978	eV per atom
formation energy from raw total energies	1.04	eV/atom
DOS(E_F)	2.49	states/eV/cell

Unit cell a=4.620 b=4.620 c=4.620 alpha=60.00 beta=60.00 gamma=60.00
Fractional positions:
Nb: 0.000 0.000 0.000
B: 0.500 0.500 0.500
Br: 0.250 0.250 0.250
Br: 0.750 0.750 0.750

=====

No. 16
Compound: NbB2Br
Source: the Alexandria database
Functional: PBE
Structure: optimized geometry

Output
energy above the most stable polymorph in this dataset	39.7	kJ per mole of atoms
DFT total energy	-4.554	eV per atom
formation energy from raw total energies	1.72	eV/atom
DOS(E_F)	1.84	states/eV/cell

Unit cell a=4.227 b=4.227 c=4.227 alpha=60.00 beta=60.00 gamma=60.00
Fractional positions:
Nb: 0.000 0.000 0.000
B: 0.250 0.250 0.250
B: 0.750 0.750 0.750
Br: 0.500 0.500 0.500

=====

No. 17
Compound: NbBBr2
Source: the Alexandria database
Functional: PBE
Structure: optimized geometry

Output
energy above the most stable polymorph in this dataset	58.6	kJ per mole of atoms
DFT total energy	-3.951	eV per atom
formation energy from raw total energies	1.07	eV/atom
DOS(E_F)	2.26	states/eV/cell

Unit cell a=8.463 b=8.463 c=8.463 alpha=22.74 beta=22.74 gamma=22.74
Fractional positions:
Nb: 0.000 0.000 0.000
B: 0.500 0.500 0.500
Br: 0.103 0.103 0.103
Br: 0.897 0.897 0.897

=====

No. 18
Compound: NbB2Br2
Source: the Alexandria database
Functional: PBE
Structure: optimized geometry

Output
energy above the most stable polymorph in this dataset	48.0	kJ per mole of atoms
DFT total energy	-3.959	eV per atom
formation energy from raw total energies	1.39	eV/atom
DOS(E_F)	5.59	states/eV/cell

Unit cell a=7.197 b=7.197 c=3.080 alpha=90.00 beta=90.00 gamma=90.00
Fractional positions:
Nb: 0.000 0.000 0.000
Nb: 0.500 0.500 0.000
B: 0.218 0.282 0.500
B: 0.282 0.782 0.500
B: 0.718 0.218 0.500
B: 0.782 0.718 0.500
Br: 0.142 0.642 0.000
Br: 0.358 0.142 0.000
Br: 0.642 0.858 0.000
Br: 0.858 0.358 0.000

=====

No. 19
Compound: Nb2BBr
Source: the Alexandria database
Functional: PBE
Structure: optimized geometry

Output
energy above the most stable polymorph in this dataset	4.5	kJ per mole of atoms
DFT total energy	-6.596	eV per atom
formation energy from raw total energies	0.53	eV/atom
DOS(E_F)	2.68	states/eV/cell

Unit cell a=6.765 b=6.765 c=6.765 alpha=133.21 beta=133.21 gamma=68.33
Fractional positions:
Nb: 0.037 0.625 0.912
Nb: 0.375 0.287 0.412
Nb: 0.713 0.125 0.088
Nb: 0.875 0.963 0.588
B: 0.000 0.000 0.000
B: 0.750 0.250 0.500
Br: 0.250 0.750 0.500
Br: 0.500 0.500 0.000

=====

No. 20
Compound: NbBBr2
Source: the Alexandria database
Functional: PBE
Structure: optimized geometry

Output
energy above the most stable polymorph in this dataset	0.0	kJ per mole of atoms
DFT total energy	-4.558	eV per atom
formation energy from raw total energies	0.46	eV/atom
DOS(E_F)	9.17	states/eV/cell

Unit cell a=7.250 b=7.250 c=7.250 alpha=95.32 beta=95.32 gamma=144.53
Fractional positions:
Nb: 0.000 0.000 0.000
Nb: 0.750 0.250 0.500
B: 0.250 0.750 0.500
B: 0.500 0.500 0.000
Br: 0.375 0.037 0.162
Br: 0.787 0.625 0.662
Br: 0.875 0.213 0.838
Br: 0.963 0.125 0.338